<1>
This record from Alexandria via LeMat-Bulk describes a geometry-optimized Zn2CoW2 structure. The functional is PBE.

Values from the calculation:
ρ in g cm⁻³: 11.2
Symmetry: I4/mmm
Crystal system: tetragonal

a = 3.5995 Å, b = 3.5995 Å, c = 6.8675 Å
α = 74.81°, β = 74.81°, γ = 90.00°
With the nearest neighbours (Å) after each atom.
Sites, in units of the cell vectors:
Zn: 0.4098 0.4098 0.1804  1 Zn 2.30
Zn: 0.5902 0.5902 0.8196  1 Zn 2.30
Co: 0.0000 0.0000 0.0000  8 Zn 2.79
W: 0.7500 0.2500 0.5000  4 W 2.55, 4 Zn 2.72
W: 0.2500 0.7500 0.5000  4 W 2.55, 4 Zn 2.72

<2>
This record from Alexandria via LeMat-Bulk describes a geometry-optimized Zn2CoW2 structure. The functional is PBE.

Values from the calculation:
ρ in g cm⁻³: 13.0
Symmetry: P4/mbm
Crystal system: tetragonal

a = 6.0943 Å, b = 6.0943 Å, c = 3.8293 Å
α = 90.00°, β = 90.00°, γ = 90.00°
With the nearest neighbours (Å) after each atom.
Sites, in units of the cell vectors:
Zn: 0.3620 0.8620 0.0000  2 Co 2.36, 1 Zn 2.38, 2 W 2.56
Zn: 0.8620 0.6380 0.0000  2 Co 2.36, 1 Zn 2.38, 2 W 2.56
Zn: 0.6380 0.1380 0.0000  2 Co 2.36, 1 Zn 2.38, 2 W 2.56
Zn: 0.1380 0.3620 0.0000  2 Co 2.36, 1 Zn 2.38, 2 W 2.56
Co: 0.0000 0.0000 0.0000  4 Zn 2.36
Co: 0.5000 0.5000 0.0000  4 Zn 2.36
W: 0.1654 0.6654 0.5000  6 Zn 2.56-2.67, 1 W 2.85
W: 0.6654 0.8346 0.5000  6 Zn 2.56-2.67, 1 W 2.85
W: 0.8346 0.3346 0.5000  6 Zn 2.56-2.67, 1 W 2.85
W: 0.3346 0.1654 0.5000  6 Zn 2.56-2.67, 1 W 2.85

It turns out <2> is the most stable, with the second structure 286 meV/atom higher.

<1>
This record from Alexandria via LeMat-Bulk describes a geometry-optimized ZrCo2W structure. The functional is PBE.

Values from the calculation:
ρ in g cm⁻³: 11.2
Symmetry: Cm
Crystal system: monoclinic

a = 4.7336 Å, b = 4.7336 Å, c = 4.6901 Å
α = 80.00°, β = 80.00°, γ = 34.44°
With the nearest neighbours (Å) after each atom.
Sites, in units of the cell vectors:
Co: 0.9835 0.9835 0.9863  3 Zr 2.51-2.73, 2 W 2.58, 4 Co 2.66-2.80
Co: 0.2578 0.2578 0.2867  3 W 2.56-2.57, 4 Co 2.66-2.80, 4 Zr 2.73-2.74
W: 0.5175 0.5175 0.4325  5 Co 2.56-2.58, 2 W 2.80, 1 Zr 2.87
Zr: 0.7413 0.7413 0.7945  7 Co 2.51-2.74, 2 Zr 2.80

<2>
This record from Alexandria via LeMat-Bulk describes a geometry-optimized ZrCo2W structure. The functional is PBE.

Values from the calculation:
ρ in g cm⁻³: 11.2
Symmetry: I-4m2
Crystal system: tetragonal

a = 4.9881 Å, b = 4.9881 Å, c = 4.9881 Å
α = 136.29°, β = 136.29°, γ = 63.53°
With the nearest neighbours (Å) after each atom.
Sites, in units of the cell vectors:
Co: 0.0000 0.0000 0.0000  4 W 2.63, 4 Zr 2.82, 4 Co 2.82
Co: 0.2500 0.7500 0.5000  4 Zr 2.63, 4 W 2.82, 4 Co 2.82
W: 0.5000 0.5000 0.0000  8 Co 2.63-2.82, 4 Zr 2.82
Zr: 0.7500 0.2500 0.5000  8 Co 2.63-2.82, 4 W 2.82

It turns out <1> is the most stable, with the second structure 68 meV/atom higher.